The following is a DFT calculation (PBE-GGA) of a geometry-optimized Mg2OsBr structure.

Unit cell a=3.914 b=3.914 c=9.863 alpha=90.00 beta=90.00 gamma=90.00
Space group I-4m2 (No. 119)
Asymmetric unit:
Mg 0.000 0.000 0.000
Mg 0.000 0.500 0.250
Os 0.000 0.500 0.750
Br 0.000 0.000 0.500

Properties
E_form (uncorrected) ... 0.53 eV per atom
Total magnetic moment ... 0.76 μB per formula unit